Below is an optimized crystal structure of KZr2WO8, with properties calculated at the GGA+U level.

Computed properties:
- M_tot (μB per cell) = 1.0
- SG = P2/m
- uncorrected energy (eV/atom) = -7.8197
- V (Å³ per atom) = 14.1

Cell: 4.908 4.896 7.033 Å, 90.00 90.00 88.67°
Each line ends with the local moment (μB).
Fractional positions:
O (0.199, 0.799, 0.807)  0.00
O (0.290, 0.288, 0.000)  0.01
O (0.710, 0.712, 0.000)  0.01
O (0.352, 0.348, 0.500)  0.43
O (0.648, 0.652, 0.500)  0.43
O (0.801, 0.201, 0.193)  0.00
O (0.801, 0.201, 0.807)  0.00
O (0.199, 0.799, 0.193)  0.00
Zr (0.500, 0.500, 0.763)  -0.02
Zr (0.500, 0.500, 0.237)  -0.02
K (0.000, 0.000, 0.500)  0.02
W (0.000, 0.000, 0.000)  0.00